Density functional theory data (GGA-PBE) for a relaxed Ta4InBr crystal.

Properties
Formation energy (no corrections) in eV per atom: 0.710

a = 7.943 Å, b = 7.943 Å, c = 7.943 Å
α = 90.00°, β = 90.00°, γ = 90.00°
Space group F-43m (No. 216)
One atom of each set of equivalent atoms:
Ta 0.124 0.124 0.376 x16
In 0.250 0.250 0.750 x4
Br 0.000 0.000 0.000 x4